DFT (PBE with a Hubbard U) results for a relaxed structure of CrTeAu2O.

extended XYZ file:
```
5
Lattice="4.377 0.000 0.000 0.000 5.362 0.000 0.000 0.000 4.377" Properties=species:S:1:pos:R:3 pbc="T T T"
Au 0.000 0.000 2.189
Cr 2.189 2.681 2.189
Au 2.189 0.000 0.000
Te 0.000 2.681 0.000
O 0.000 0.000 0.000
```

total magnetic moment	0.8995	μB/atom
raw total energy	-20.6	eV for the cell shown
crystal system	tetragonal
density of states at the Fermi level	0.42	states/eV/atom
space-group type	P4/mmm